VASP calculation (GGA-PBE) on a relaxed structure of Ba2TbNbO6.

```
Ba2TbNbO6
1.0
6.050 -0.003 0.008
-3.021 5.242 -0.008
-0.029 -3.478 4.960
Ba O Tb Nb
2 6 1 1
Direct
0.750 0.002 0.752
0.250 0.998 0.248
0.286 0.028 0.788
0.240 0.498 0.212
0.264 0.456 0.720
0.736 0.544 0.280
0.760 0.502 0.788
0.714 0.972 0.212
0.000 0.500 0.500
0.500 0.500 0.000
```

Summary:
**Density of states at the Fermi level**: 0.0 states/eV per cell
**Formation energy (no corrections)**: -3036 meV/atom